# 1
Computed, not measured: an optimized crystal structure of ReRu2Cl at the PBE level of DFT.

Calculated values
Excess energy over the best structure of this formula in the dataset, meV per atom: 346
Formation energy from raw total energies, eV/atom: 0.646
VASP energy, eV per cell: -30.26

Cell: 5.1449 5.1449 4.3069 Å, 90.07 90.07 31.86°
Element x y z (fractional)
Cl  0.5012  0.5012  0.5201
Ru  0.7184  0.7184  0.7576
Re  0.2875  0.2875  0.2296
Ru  0.9929  0.9929  0.9927


# 2
Computed, not measured: an optimized crystal structure of SiTcOs2 at the PBE level of DFT.

Calculated values
Formation energy from raw total energies, eV/atom: 0.070
VASP energy, eV per cell: -37.97

Cell: 4.7548 4.7548 4.7548 Å, 133.39 133.39 68.04°
Element x y z (fractional)
Si  0.5000  0.5000  0.0000
Os  0.2500  0.7500  0.5000
Tc  0.7500  0.2500  0.5000
Os  0.0000  0.0000  0.0000


# 3
Computed, not measured: an optimized crystal structure of TcPbSe2 at the PBE level of DFT.

Calculated values
Excess energy over the best structure of this formula in the dataset, meV per atom: 239
Formation energy from raw total energies, eV/atom: 0.079
VASP energy, eV per cell: -20.73

Cell: 9.4223 9.4223 9.4223 Å, 20.90 20.90 20.90°
Element x y z (fractional)
Se  0.2242  0.2242  0.2242
Se  0.0150  0.0150  0.0150
Tc  0.5036  0.5036  0.5036
Pb  0.7572  0.7572  0.7572


# 4
Computed, not measured: an optimized crystal structure of La2ZrMo at the PBE level of DFT.

Calculated values
Excess energy over the best structure of this formula in the dataset, meV per atom: 346
Calculated formation energy, eV per atom: 0.54
VASP energy, eV per cell: -27.06

Cell: 6.0522 6.0522 3.2397 Å, 79.11 79.11 117.26°
Element x y z (fractional)
La  0.5000  0.5000  0.0000
Mo  0.5000  0.0000  0.5000
La  0.0000  0.0000  0.0000
Zr  0.0000  0.5000  0.5000


# 5
Computed, not measured: an optimized crystal structure of BeTcN2F at the PBE level of DFT.

Calculated values
Excess energy over the best structure of this formula in the dataset, meV per atom: 0
Formation energy from raw total energies, eV/atom: 0.274
VASP energy, eV per cell: -31.24

Cell: 3.6975 3.6975 3.1554 Å, 90.00 90.00 90.00°
Site moments in Bohr magnetons follow the coordinates.
Element x y z (fractional)
N  0.5000  0.0000  0.0000  -0.13
Be  0.0000  0.0000  0.0000  0.01
N  0.0000  0.5000  0.0000  -0.13
Tc  0.5000  0.5000  0.5000  2.39
F  0.0000  0.0000  0.5000  0.06


# 6
Computed, not measured: an optimized crystal structure of Re2NiPb at the PBE level of DFT.

Calculated values
Calculated formation energy, eV per atom: 0.72
VASP energy, eV per cell: -31.50

Cell: 4.7536 4.7536 4.7536 Å, 128.59 128.73 75.55°
Element x y z (fractional)
Re  0.2501  0.7501  0.5000
Re  0.9998  0.9998  0.0000
Pb  0.7501  0.2501  0.5000
Ni  0.5000  0.5000  0.0000


# 7
Computed, not measured: an optimized crystal structure of InSb2MoI at the PBE level of DFT.

Calculated values
Excess energy over the best structure of this formula in the dataset, meV per atom: 951
Formation energy from raw total energies, eV/atom: 1.318
VASP energy, eV per cell: -16.78

Cell: 5.5881 5.5881 5.8613 Å, 90.00 90.00 90.00°
Site moments in Bohr magnetons follow the coordinates.
Element x y z (fractional)
I  0.0000  0.0000  0.5000  -0.07
Sb  0.5000  0.0000  0.0000  -0.21
In  0.0000  0.0000  0.0000  0.02
Mo  0.5000  0.5000  0.5000  3.80
Sb  0.0000  0.5000  0.0000  -0.21


# 8
Computed, not measured: an optimized crystal structure of RbHfTeN2 at the PBE level of DFT.

Calculated values
Excess energy over the best structure of this formula in the dataset, meV per atom: 0
Formation energy from raw total energies, eV/atom: 0.154
VASP energy, eV per cell: -29.95

Cell: 4.5042 4.5042 5.6941 Å, 90.00 90.00 90.00°
Site moments in Bohr magnetons follow the coordinates.
Element x y z (fractional)
Rb  0.5000  0.5000  0.5000  0.02
N  0.5000  0.0000  0.0000  0.86
Te  0.0000  0.0000  0.5000  0.31
Hf  0.0000  0.0000  0.0000  -0.14
N  0.0000  0.5000  0.0000  0.86


# 9
Computed, not measured: an optimized crystal structure of LiDyTlPt at the PBE level of DFT.

Calculated values
Calculated formation energy, eV per atom: -0.62
VASP energy, eV per cell: -17.41

Cell: 4.8292 4.8292 4.8292 Å, 60.00 60.00 60.00°
Element x y z (fractional)
Li  0.2500  0.2500  0.2500
Dy  0.0000  0.0000  0.0000
Pt  0.7500  0.7500  0.7500
Tl  0.5000  0.5000  0.5000


# 10
Computed, not measured: an optimized crystal structure of CeSiPt at the PBE level of DFT.

Calculated values
Formation energy from raw total energies, eV/atom: -0.485
VASP energy, eV per cell: -18.85

Cell: 3.9296 3.9296 5.0383 Å, 112.95 112.95 90.00°
Site moments in Bohr magnetons follow the coordinates.
Element x y z (fractional)
Pt  0.6419  0.6419  0.2838  0.01
Ce  0.2741  0.2741  0.5483  0.29
Si  0.9340  0.9340  0.8679  0.01


# 11
Computed, not measured: an optimized crystal structure of Cs2SrAg2H6 at the PBE level of DFT.

Calculated values
VASP energy, eV per cell: -31.19

Cell: 6.3834 6.3978 7.3933 Å, 114.93 90.00 119.93°
Element x y z (fractional)
H  0.7537  0.9968  0.7460
Ag  0.9156  0.8313  0.7433
Cs  0.7173  0.4346  0.1529
H  0.2502  0.5004  0.2660
H  0.2463  0.0032  0.2540
H  0.2431  0.9968  0.7460
Cs  0.2827  0.5654  0.8471
Sr  0.5000  0.0000  0.5000
H  0.7569  0.0032  0.2540
Ag  0.0844  0.1687  0.2567
H  0.7498  0.4996  0.7340


# 12
Computed, not measured: an optimized crystal structure of BeH at the PBE level of DFT.

Calculated values
Excess energy over the best structure of this formula in the dataset, meV per atom: 4
VASP energy, eV per cell: -13.70

Cell: 2.0356 2.7586 6.0817 Å, 87.50 90.00 90.00°
Element x y z (fractional)
H  0.2500  0.7215  0.7964
H  0.7500  0.2785  0.2036
Be  0.2500  0.2632  0.3710
Be  0.7500  0.7368  0.6290


The highest VASP energy belongs to which entry?
BeH